# CsLi4Te2, optimized geometry, DFT PBE
data_CsLi4Te2
_chemical_formula_sum 'Cs2 Li8 Te4'
_space_group_name_H-M_alt 'P 42/m n m'
_space_group_IT_number 136
_space_group_name_Hall '-P 4n 2n'
_cell_length_a 9.419
_cell_length_b 9.419
_cell_length_c 4.457
_cell_angle_alpha 90.00
_cell_angle_beta 90.00
_cell_angle_gamma 90.00
loop_
_atom_site_label
_atom_site_fract_x
_atom_site_fract_y
_atom_site_fract_z
Cs1 0.000 0.000 0.000
Li1 0.087 0.337 0.500
Te1 0.226 0.774 0.500
# total energy: -40.26 eV per cell
# ρ: 3.5 g cm⁻³